Entry 1:
Material: PmBiSe2
Method: DFT, GGA-PBE
State: relaxed

Structure (CIF):
```
data_PmBiSe2
_chemical_formula_sum 'Pm3 Bi3 Se6'
_cell_length_a 4.1248
_cell_length_b 4.1248
_cell_length_c 27.4513
_cell_angle_alpha 90.00
_cell_angle_beta 90.00
_cell_angle_gamma 120.00
_symmetry_space_group_name_H-M 'R -3 m'
_symmetry_Int_Tables_number 166
_symmetry_space_group_name_Hall '-R 3 2"'
loop_
_atom_site_label
_atom_site_fract_x
_atom_site_fract_y
_atom_site_fract_z
Pm1 0.0000 0.0000 0.0000
Bi1 0.0000 0.0000 0.5000
Se1 0.0000 0.0000 0.3945
```

As for the formation energy (no corrections): -1061.4 meV per atom. The theoretical density is 6.3 Mg/m³.

Entry 2:
Material: TaAlReOs
Method: DFT, GGA-PBE
State: relaxed

Structure (CIF):
```
data_TaAlReOs
_chemical_formula_sum 'Ta4 Al4 Re4 Os4'
_cell_length_a 6.254
_cell_length_b 6.254
_cell_length_c 6.254
_cell_angle_alpha 90.00
_cell_angle_beta 90.00
_cell_angle_gamma 90.00
_symmetry_space_group_name_H-M 'F -4 3 m'
_symmetry_Int_Tables_number 216
_symmetry_space_group_name_Hall 'F -4 2 3'
loop_
_atom_site_label
_atom_site_fract_x
_atom_site_fract_y
_atom_site_fract_z
Ta1 0.000 0.000 0.000
Al1 0.000 0.000 0.500
Re1 0.250 0.250 0.750
Os1 0.250 0.250 0.250
```

The value obtained for the energy relative to the elements is -145 kJ/mol of formula units. The theoretical density is 15.9 Mg/m³.

Entry 3:
Material: RbHfV2
Method: DFT, GGA-PBE
State: relaxed

Structure (CIF):
```
data_RbHfV2
_chemical_formula_sum 'Rb4 Hf4 V8'
_cell_length_a 7.175
_cell_length_b 7.175
_cell_length_c 7.175
_cell_angle_alpha 90.00
_cell_angle_beta 90.00
_cell_angle_gamma 90.00
_symmetry_space_group_name_H-M 'F m -3 m'
_symmetry_Int_Tables_number 225
_symmetry_space_group_name_Hall '-F 4 2 3'
loop_
_atom_site_label
_atom_site_fract_x
_atom_site_fract_y
_atom_site_fract_z
Rb1 0.000 0.000 0.000
Hf1 0.000 0.000 0.500
V1 0.250 0.250 0.250
```

The value obtained for the energy relative to the elements is 604 kJ/mol of formula units. The theoretical density is 6.6 Mg/m³.

Entry 4:
Material: CrMo3Br
Method: DFT, GGA-PBE
State: relaxed

Structure (CIF):
```
data_CrMo3Br
_chemical_formula_sum 'Cr1 Mo3 Br1'
_cell_length_a 4.573
_cell_length_b 4.573
_cell_length_c 4.573
_cell_angle_alpha 90.00
_cell_angle_beta 90.00
_cell_angle_gamma 90.00
_symmetry_space_group_name_H-M 'P m -3 m'
_symmetry_Int_Tables_number 221
_symmetry_space_group_name_Hall '-P 4 2 3'
loop_
_atom_site_label
_atom_site_fract_x
_atom_site_fract_y
_atom_site_fract_z
Cr1 0.000 0.000 0.000
Mo1 0.000 0.000 0.500
Br1 0.500 0.500 0.500
```

As for the formation energy (no corrections): 1574.2 meV per atom. The theoretical density is 7.3 Mg/m³.

- Among the records above, which one has the highest theoretical density?
  TaAlReOs

- Among the records above, which one has the lowest theoretical density?
  PmBiSe2

- Among the records above, which one has the lowest theoretical density?
  PmBiSe2